Record 1
The following is a PBE-GGA calculation of a relaxed PrDy2Y6Ho3 crystal, from Alexandria.

The structure in POSCAR format:
```
PrDy2Y6Ho3
1.0
6.1756 0.0021 0.0113
-3.0845 5.3501 0.0113
-1.0459 -1.8110 11.6301
Pr Dy Y Ho
1 2 6 3
Direct
0.0000 0.0000 0.0000 Pr
0.3334 0.6666 0.0000 Dy
0.6666 0.3334 0.0000 Dy
0.9153 0.5813 0.7480 Y
0.7504 0.7504 0.2519 Y
0.0847 0.4187 0.2520 Y
0.5813 0.9153 0.7480 Y
0.2496 0.2496 0.7481 Y
0.4187 0.0847 0.2520 Y
0.1670 0.8330 0.5000 Ho
0.8330 0.1670 0.5000 Ho
0.5000 0.5000 0.5000 Ho
```

## Properties
D(E_F) = 1.412 states/eV/atom
calculated volume = 384.6 Å³ per cell
formation enthalpy at 0 K = 0.0210 eV/atom
E_tot = -5.521 eV per atom
crystal system = monoclinic
theoretical density = 6.451 g/cm3

=====

Record 2
The following is a PBE-GGA calculation of a relaxed VCo2Ni crystal, from Alexandria.

The structure in POSCAR format:
```
VCo2Ni
1.0
-1.5845 -1.5229 2.6505
-2.4868 -1.0940 -2.1152
2.2305 -8.2384 -1.1638
Ni Co V
2 4 2
Direct
0.0000 0.0000 0.0000 Ni
0.7500 0.2500 0.5000 Ni
0.6459 0.1250 0.2500 Co
0.1041 0.6250 0.2500 Co
0.3750 0.3541 0.7500 Co
0.8750 0.8959 0.7500 Co
0.5000 0.5000 0.0000 V
0.2500 0.7500 0.5000 V
```

## Properties
D(E_F) = 1.253 states/eV/atom
calculated volume = 98.0 Å³ per cell
formation enthalpy at 0 K = 0.3367 eV/atom
E_tot = -6.941 eV per atom
crystal system = tetragonal
theoretical density = 7.713 g/cm3

=====

- What is the formula in the second record?
  VCo2Ni

=====

- calculated volume of number 2 (VCo2Ni)?
  98.0 Å³ per cell